# Y4Cr, single point on PBEsol structure, DFT SCAN
# Energy above the most stable polymorph in this dataset, kJ/mol of atoms: 39.4
# Spin magnetization, μB/f.u.: 4.1
# Energy of formation, kJ/mol of formula units: 287
data_Y4Cr
_symmetry_space_group_name_H-M 'I 4/m m m'
_symmetry_Int_Tables_number 139
_symmetry_space_group_name_Hall '-I 4 2'
_cell_length_a 4.136
_cell_length_b 4.136
_cell_length_c 17.536
_cell_angle_alpha 90.00
_cell_angle_beta 90.00
_cell_angle_gamma 90.00
loop_
_atom_site_label
_atom_site_fract_x
_atom_site_fract_y
_atom_site_fract_z
Y1 0.000 0.000 0.088
Y2 0.000 0.500 0.250
Cr1 0.000 0.000 0.500